## CrSiCl (GGA-PBE)

Data for a geometry-optimized CrSiCl structure.

```
CrSiCl
1.0
-1.7483 3.8763 -0.9290
-4.2764 0.3385 -0.7364
-2.5584 1.9866 2.9073
Cr Cl Si
1 1 1
direct
0.0000 0.0000 0.0000 Cr
0.2500 0.2500 0.2500 Cl
0.5000 0.5000 0.5000 Si
```

Results
Offset from the most stable computed form ... 1066.1 meV per atom
ΔE_f (raw) ... 1.041 eV/atom
DOS(E_F) ... 0.815 states/eV per atom

## CrSiCl (GGA-PBE)

Data for a geometry-optimized CrSiCl structure.

```
CrSiCl
1.0
-0.7004 -0.3021 -3.0137
1.4044 -2.3262 1.5102
-6.3047 -2.6806 1.7339
Si Cr Cl
1 1 1
direct
0.3333 0.6667 0.5766 Si
0.6667 0.3333 0.3282 Cr
0.0000 0.0000 0.0952 Cl
```

Results
Offset from the most stable computed form ... 147.2 meV per atom
ΔE_f (raw) ... 0.122 eV/atom
DOS(E_F) ... 1.116 states/eV per atom

## CrSiCl2 (GGA-PBE)

Data for a geometry-optimized CrSiCl2 structure.

```
CrSiCl2
1.0
0.0000 3.1560 3.1560
3.1560 0.0000 3.1560
3.1560 3.1560 0.0000
Cl Si Cr
2 1 1
direct
0.2500 0.2500 0.2500 Cl
0.7500 0.7500 0.7500 Cl
0.0000 0.0000 0.0000 Si
0.5000 0.5000 0.5000 Cr
```

Results
Offset from the most stable computed form ... 1107.1 meV per atom
ΔE_f (raw) ... 0.790 eV/atom
DOS(E_F) ... 1.863 states/eV per atom

## CrSiCl2 (GGA-PBE)

Data for a geometry-optimized CrSiCl2 structure.

```
CrSiCl2
1.0
7.2403 0.0227 0.0663
6.5678 3.0473 0.0663
0.5485 0.1220 4.2925
Cl Si Cr
2 1 1
direct
0.1136 0.1136 0.9556 Cl
0.3864 0.3864 0.5444 Cl
0.2500 0.2500 0.2500 Si
0.7500 0.7500 0.7500 Cr
```

Results
Offset from the most stable computed form ... 136.8 meV per atom
ΔE_f (raw) ... -0.180 eV/atom
DOS(E_F) ... 0.646 states/eV per atom

## CrSiCl2 (GGA-PBE)

Data for a geometry-optimized CrSiCl2 structure.

```
CrSiCl2
1.0
8.8106 1.2636 -0.5725
7.0146 5.4790 0.5725
-7.7579 -3.7342 2.3283
Cr Cl Si
1 2 1
direct
0.4504 0.4504 0.0000 Cr
0.1459 0.1459 0.0000 Cl
0.3556 0.8556 0.5000 Cl
0.5481 0.0481 0.5000 Si
```

Results
Offset from the most stable computed form ... 104.0 meV per atom
ΔE_f (raw) ... -0.213 eV/atom
DOS(E_F) ... 0.398 states/eV per atom

## CrSiCl (GGA-PBE)

Data for a geometry-optimized CrSiCl structure.

```
CrSiCl
1.0
6.1179 0.2760 0.1397
4.4035 4.2557 -0.1393
-5.3158 -2.1377 2.1665
Cl Si Cr
1 1 1
direct
0.9943 0.9943 0.0000 Cl
0.8029 0.8030 0.0000 Si
0.2027 0.2027 0.0001 Cr
```

Results
Offset from the most stable computed form ... 0.0 meV per atom
ΔE_f (raw) ... -0.025 eV/atom
DOS(E_F) ... 0.164 states/eV per atom

## CrSiCl2 (GGA-PBE)

Data for a geometry-optimized CrSiCl2 structure.

```
CrSiCl2
1.0
-4.3649 1.7317 0.7015
-2.9747 0.4965 -3.6671
-3.7767 -2.8501 -0.3960
Cl Cr Si
2 1 1
direct
0.2500 0.2500 0.2500 Cl
0.0000 0.0000 0.0000 Cl
0.5000 0.5000 0.5000 Cr
0.7500 0.7500 0.7500 Si
```

Results
Offset from the most stable computed form ... 819.1 meV per atom
ΔE_f (raw) ... 0.502 eV/atom
DOS(E_F) ... 0.919 states/eV per atom

## CrSiCl (GGA-PBE)

Data for a geometry-optimized CrSiCl structure.

```
CrSiCl
1.0
-0.8612 -0.8518 -4.3510
-2.8684 -3.3005 -1.1302
-4.0400 1.0180 -1.7438
Si Cl Cr
1 1 1
direct
0.2500 0.2500 0.2500 Si
0.0000 0.0000 0.0000 Cl
0.5000 0.5000 0.5000 Cr
```

Results
Offset from the most stable computed form ... 910.8 meV per atom
ΔE_f (raw) ... 0.885 eV/atom
DOS(E_F) ... 0.889 states/eV per atom

## CrSi2Cl (GGA-PBE)

Data for a geometry-optimized CrSi2Cl structure.

```
CrSi2Cl
1.0
5.7476 0.0000 0.0000
0.0000 5.7476 0.0000
2.8738 2.8738 5.5507
Cr Si Cl
2 4 2
direct
0.0000 0.0000 0.0000 Cr
0.7500 0.2500 0.5000 Cr
0.6810 0.1250 0.2500 Si
0.0690 0.6250 0.2500 Si
0.3750 0.3190 0.7500 Si
0.8750 0.9310 0.7500 Si
0.2500 0.7500 0.5000 Cl
0.5000 0.5000 0.0000 Cl
```

Results
Offset from the most stable computed form ... 772.3 meV per atom
ΔE_f (raw) ... 0.772 eV/atom
DOS(E_F) ... 0.523 states/eV per atom

## CrSiCl2 (GGA-PBE)

Data for a geometry-optimized CrSiCl2 structure.

```
CrSiCl2
1.0
8.8516 0.0470 0.0277
8.2847 3.1170 0.0277
8.2847 1.5297 2.7160
Si Cl Cr
1 2 1
direct
0.7634 0.7634 0.7634 Si
0.0282 0.0282 0.0282 Cl
0.2159 0.2159 0.2159 Cl
0.4925 0.4925 0.4925 Cr
```

Results
Offset from the most stable computed form ... 68.9 meV per atom
ΔE_f (raw) ... -0.248 eV/atom
DOS(E_F) ... 0.109 states/eV per atom

## CrSiCl2 (GGA-PBE)

Data for a geometry-optimized CrSiCl2 structure.

```
CrSiCl2
1.0
3.3642 0.0000 0.0000
0.0000 4.7543 0.0000
0.0000 0.0000 4.7543
Cl Si Cr
2 1 1
direct
0.0000 0.5000 0.5000 Cl
0.0000 0.0000 0.0000 Cl
0.5000 0.0000 0.5000 Si
0.5000 0.5000 0.0000 Cr
```

Results
Offset from the most stable computed form ... 671.1 meV per atom
ΔE_f (raw) ... 0.354 eV/atom
DOS(E_F) ... 0.352 states/eV per atom

## CrSi2Cl (GGA-PBE)

Data for a geometry-optimized CrSi2Cl structure.

```
CrSi2Cl
1.0
6.5322 1.3141 0.0000
3.8228 5.4573 0.0000
-5.1775 -3.3857 2.4752
Si Cl Cr
2 1 1
direct
0.0000 0.0000 0.0000 Si
0.5000 0.5000 0.0000 Si
0.2500 0.7500 0.5000 Cl
0.7500 0.2500 0.5000 Cr
```

Results
Offset from the most stable computed form ... 370.7 meV per atom
ΔE_f (raw) ... 0.371 eV/atom
DOS(E_F) ... 0.535 states/eV per atom